This record from Alexandria via LeMat-Bulk describes crystalline La6CePmTm2 at its relaxed geometry. The functional is PBE-GGA.

a b c (Å): 6.988 6.988 9.054
angles (deg): 107.57 107.57 58.82
Fractional positions:
La 0.094 0.612 0.691
La 0.164 0.164 0.918
La 0.388 0.906 0.309
La 0.612 0.094 0.691
La 0.836 0.836 0.082
La 0.906 0.388 0.309
Ce 0.000 0.000 0.500
Pm 0.500 0.500 0.000
Tm 0.399 0.399 0.322
Tm 0.601 0.601 0.678

For the energy of formation, the calculation gives 220.8 meV/atom. The value obtained for the volume is 355 Å³/cell. As for the space group: C2/m, No. 12. For the spin magnetization, the calculation gives 0.10 μB/atom.